Crystalline Pm2MnGa4Pt3 at its relaxed geometry, computed with PBE-GGA.

Cell: 4.162 4.162 11.024 Å, 90.00 90.00 90.00°
Atoms (fractional coordinates):
Pm  0.000  0.500  0.249
Pm  0.500  0.000  0.751
Mn  0.500  0.500  0.000
Ga  0.000  0.000  0.500
Ga  0.000  0.500  0.865
Ga  0.500  0.000  0.135
Ga  0.500  0.500  0.500
Pt  0.000  0.000  0.000
Pt  0.000  0.500  0.636
Pt  0.500  0.000  0.364

Size of the total moment   3.13 μB per formula unit
Symmetry   P-4m2 (115)
E_form   -0.82 eV/atom
E   -57.102 eV per cell